No. 1
Here is a relaxed structure of YMg4Pd from Alexandria. Energies are from PBE.

a = 4.0922 Å, b = 7.4964 Å, c = 8.8342 Å
α = 90.00°, β = 90.00°, γ = 90.00°
Element x y z (fractional)
Mg 0.0000 0.0000 0.0000
Mg 0.5000 0.6916 0.0584
Y 0.0000 0.5973 0.7500
Mg 0.5000 0.3084 0.5584
Y 0.0000 0.4027 0.2500
Mg 0.5000 0.3084 0.9416
Mg 0.5000 0.6916 0.4416
Pd 0.0000 0.7955 0.2500
Mg 0.5000 0.0516 0.2500
Mg 0.5000 0.9484 0.7500
Mg 0.0000 0.0000 0.5000
Pd 0.0000 0.2045 0.7500

Output
**Total moment**: 0.00 μB per formula unit
**DFT formation energy**: -2.1 eV per formula unit



No. 2
Here is a relaxed structure of Sr3Re from Alexandria. Energies are from PBE.

a = 8.4175 Å, b = 8.4175 Å, c = 8.4175 Å
α = 155.42°, β = 141.05°, γ = 46.60°
Element x y z (fractional)
Sr 0.8358 0.3358 0.5000
Sr 0.1642 0.6642 0.5000
Sr 0.5000 0.5000 0.0000
Re 0.0000 0.0000 0.0000

Output
**Polymorph energy (0 for the lowest one)**: 97 meV/atom
**Total moment**: 1.53 μB per formula unit
**DFT formation energy**: 3.4 eV per formula unit



Q: total moment of number 1 (YMg4Pd)?
A: 0.00 μB per formula unit



Q: Among the records above, which one has the highest DFT formation energy?
A: Sr3Re